No. 1
Computed, not measured: crystalline Pr4Nd4Tm at its relaxed geometry at the PBE level of DFT.

Cell lengths 11.030, 11.030, 5.194 Å; angles 90.00, 90.00, 90.00 degrees
Space group I4/mmm (No. 139)
Asymmetric unit:
Pr 0.165 0.165 0.000 (multiplicity 8)
Nd 0.000 0.333 0.500 (multiplicity 8)
Tm 0.000 0.000 0.500 (multiplicity 2)

Results
E_tot   -4.726 eV/atom


No. 2
Computed, not measured: crystalline Pr4Nd5Tm3 at its relaxed geometry at the PBE level of DFT.

Cell lengths 16.493, 6.015, 9.501 Å; angles 90.00, 116.74, 90.00 degrees
Space group C2/m (No. 12)
Asymmetric unit:
Pr 0.083 0.000 0.443 (multiplicity 4)
Pr 0.219 0.000 0.878 (multiplicity 4)
Nd 0.000 0.000 0.000 (multiplicity 2)
Nd 0.074 0.500 0.704 (multiplicity 4)
Nd 0.172 0.500 0.387 (multiplicity 4)
Tm 0.000 0.500 0.000 (multiplicity 2)
Tm 0.210 0.000 0.229 (multiplicity 4)

Results
E_tot   -4.493 eV/atom


No. 3
Computed, not measured: crystalline Pr8NdTm4 at its relaxed geometry at the PBE level of DFT.

Cell lengths 7.3471, 7.3471, 28.9110 Å; angles 90.00, 90.00, 120.00 degrees
Space group R-3m (No. 166, hexagonal axes)
Asymmetric unit:
Pr 0.0000 0.0000 0.2145 (multiplicity 6)
Pr 0.0310 0.5155 0.7636 (multiplicity 18)
Nd 0.0000 0.0000 0.5000 (multiplicity 3)
Tm 0.0000 0.0000 0.0000 (multiplicity 3)
Tm 0.0000 0.5000 0.0000 (multiplicity 9)

Results
E_tot   -4.503 eV/atom


Number 1: spin magnetization 0.000 μB/f.u.. Number 2: spin magnetization 0.000 μB/f.u.. Number 3: spin magnetization 0.000 μB/f.u..